Entry 1:
A relaxed Ge3Pt2Se3 crystal. Source: the Alexandria database, functional PBE.

The uncorrected formation energy is -3.06 eV/f.u.

It has space group R-3 (No. 148, hexagonal axes), with a = 12.5024 Å, b = 12.5024 Å, c = 15.4919 Å, α = 90.00°, β = 90.00° and γ = 120.00°. The inequivalent atoms are Ge at (0.0168, 0.1811, 0.3377), Ge at (0.0550, 0.5990, 0.6023), Pt at (0.0000, 0.0000, 0.2576), Pt at (0.0024, 0.4954, 0.7453), Se at (0.0234, 0.1878, 0.8324) and Se at (0.0492, 0.5984, 0.0954).

***

Entry 2:
A relaxed Mn3BeC crystal. Source: the Alexandria database, functional PBE.

It has space group Pm-3m (No. 221), with a = 3.798 Å, b = 3.798 Å, c = 3.798 Å, α = 90.00°, β = 90.00° and γ = 90.00°. The inequivalent atoms are Mn at (0.000, 0.000, 0.500), Be at (0.500, 0.500, 0.500) and C at (0.000, 0.000, 0.000).

***

Entry 3:
A relaxed AcTePb2 crystal. Source: the Alexandria database, functional PBE.

The uncorrected formation energy is 0.17 eV/f.u.

It has space group R-3m (No. 166, hexagonal axes), with a = 3.9951 Å, b = 3.9951 Å, c = 33.3958 Å, α = 90.00°, β = 90.00° and γ = 120.00°. The inequivalent atoms are Ac at (0.0000, 0.0000, 0.0000), Te at (0.0000, 0.0000, 0.5000) and Pb at (0.0000, 0.0000, 0.1022).

***

Entry 4:
A relaxed CsNa2TlCu crystal. Source: the Alexandria database, functional PBE.

It has space group P4/mmm (No. 123), with a = 6.115 Å, b = 6.115 Å, c = 5.170 Å, α = 90.00°, β = 90.00° and γ = 90.00°. The inequivalent atoms are Cs at (0.000, 0.000, 0.000), Na at (0.000, 0.500, 0.500), Tl at (0.500, 0.500, 0.500) and Cu at (0.500, 0.500, 0.000).

***

Entry 5:
A relaxed Y2ScPb crystal. Source: the Alexandria database, functional PBE.

It has space group Imm2 (No. 44), with a = 4.213 Å, b = 4.964 Å, c = 10.794 Å, α = 90.00°, β = 90.00° and γ = 90.00°. The inequivalent atoms are Y at (0.000, 0.000, 0.000), Y at (0.000, 0.500, 0.229), Sc at (0.000, 0.500, 0.774) and Pb at (0.000, 0.000, 0.489).

***

Entry 6:
A relaxed LiPr2ZnPd6 crystal. Source: the Alexandria database, functional PBE.

It has space group P-1 (No. 2), with a = 5.541 Å, b = 6.474 Å, c = 6.517 Å, α = 74.08°, β = 65.22° and γ = 65.12°. The inequivalent atoms are Li at (0.000, 0.000, 0.000), Pr at (0.499, 0.751, 0.253), Zn at (0.000, 0.500, 0.500), Pd at (0.004, 0.800, 0.695), Pd at (0.174, 0.578, 0.070) and Pd at (0.497, 0.205, 0.301).

***

Entry 7:
A relaxed Tl2SeBr4 crystal. Source: the Alexandria database, functional PBE.

The uncorrected formation energy is -3.74 eV/f.u.

It has space group I4/mmm (No. 139), with a = 7.672 Å, b = 7.672 Å, c = 8.835 Å, α = 90.00°, β = 90.00° and γ = 90.00°. The inequivalent atoms are Tl at (0.000, 0.500, 0.250), Se at (0.000, 0.000, 0.000) and Br at (0.242, 0.242, 0.000).

***

Entry 8:
A relaxed Ga2CuPb2 crystal. Source: the Alexandria database, functional PBE.

It has space group P4/mbm (No. 127), with a = 6.596 Å, b = 6.596 Å, c = 5.302 Å, α = 90.00°, β = 90.00° and γ = 90.00°. The inequivalent atoms are Ga at (0.144, 0.356, 0.000), Cu at (0.000, 0.000, 0.000) and Pb at (0.178, 0.678, 0.500).

***

Values for M_tot, μB per formula unit, ordered as above
0.0 6.9 0.0 0.0 0.0 0.0 0.0 0.0
Values for calculated volume, A^3/atom, ordered as above
21.8 11.0 38.5 38.7 28.2 19.1 37.1 23.1
Values for uncorrected energy, eV/atom, ordered as above
-4.9307 -8.0262 -3.6241 -1.8290 -6.0034 -4.9532 -2.6638 -3.4040